[1]
# K3Na4In2 (GGA-PBE, relaxed)
data_K3Na4In2
_chemical_formula_sum 'K3 Na4 In2'
_cell_length_a 5.526
_cell_length_b 7.545
_cell_length_c 10.412
_cell_angle_alpha 108.00
_cell_angle_beta 90.00
_cell_angle_gamma 111.47
_space_group_name_H-M_alt 'P -1'
_space_group_IT_number 2
loop_
_space_group_symop_operation_xyz
'x,y,z'
'-x,-y,-z'
loop_
_atom_site_label
_atom_site_fract_x
_atom_site_fract_y
_atom_site_fract_z
_atom_site_occupancy
K1 0.000 0.000 0.000 1
K2 0.383 0.766 0.625 1
Na1 0.106 0.210 0.669 1
Na2 0.306 0.612 0.958 1
In1 0.262 0.526 0.245 1
# * DFT total energy: -1.555 eV per atom
# * magnetic moment: 0.00 μB/cell
# * ΔH_f (0 K): 5 meV/atom


[2]
# Ca8Al2Pt (GGA-PBE, relaxed)
data_Ca8Al2Pt
_chemical_formula_sum 'Ca16 Al4 Pt2'
_cell_length_a 5.221
_cell_length_b 8.782
_cell_length_c 14.489
_cell_angle_alpha 90.00
_cell_angle_beta 90.00
_cell_angle_gamma 90.00
_space_group_name_H-M_alt 'I m m m'
_space_group_IT_number 71
_space_group_name_Hall '-I 2 2'
loop_
_atom_site_label
_atom_site_fract_x
_atom_site_fract_y
_atom_site_fract_z
_atom_site_occupancy
Ca1 0.000 0.000 0.129 1
Ca2 0.000 0.224 0.345 1
Ca3 0.000 0.321 0.000 1
Al1 0.000 0.500 0.193 1
Pt1 0.000 0.500 0.500 1
# * DFT total energy: -2.874 eV per atom
# * magnetic moment: 0.00 μB/cell
# * ΔH_f (0 K): -189 meV/atom